No. 1
Entry from Alexandria via LeMat-Bulk: LaHRh3 after structural relaxation (PBE-GGA).

Summary:
* calculated total energy: -4.4374 eV/atom
* space group: Pm-3m, No. 221

a b c (Å): 4.951 4.951 4.951
angles (deg): 90.00 90.00 90.00
Each line ends with the local moment (μB).
Fractional coordinates of all 5 atoms:
Rh1 0.500 0.000 0.000  0.41
Rh2 0.000 0.500 0.000  0.49
Rh3 0.000 0.000 0.500  0.46
La1 0.000 0.000 0.000  -0.06
H1 0.500 0.500 0.500  0.28

=====

No. 2
Entry from Alexandria via LeMat-Bulk: Co4RuPb after structural relaxation (PBE-GGA).

Summary:
* energy of formation from the pure elements: 0.36 eV per atom
* space group: F-43m, No. 216

a b c (Å): 4.857 4.857 4.857
angles (deg): 60.00 60.00 60.00
Each line ends with the local moment (μB).
Fractional coordinates of all 6 atoms:
Pb1 0.750 0.750 0.750  -0.02
Co1 0.375 0.876 0.375  1.62
Co2 0.876 0.375 0.375  1.62
Co3 0.375 0.375 0.375  1.62
Co4 0.375 0.375 0.876  1.62
Ru1 0.000 0.000 0.000  1.30

=====

No. 3
Entry from Alexandria via LeMat-Bulk: NiSb2Te after structural relaxation (PBE-GGA).

Summary:
* calculated total energy: -4.2727 eV/atom
* space group: P4/mmm, No. 123

a b c (Å): 3.118 3.118 10.184
angles (deg): 90.00 90.00 90.00
Fractional coordinates of all 4 atoms:
Sb1 0.000 0.000 0.586
Sb2 0.000 0.000 0.914
Ni1 0.500 0.500 0.750
Te1 0.500 0.500 0.250

=====

No. 4
Entry from Alexandria via LeMat-Bulk: AcY4Sn4 after structural relaxation (PBE-GGA).

Summary:
* energy of formation from the pure elements: -0.50 eV per atom
* space group: P4_2/n, No. 86

a b c (Å): 6.126 10.094 10.094
angles (deg): 90.00 90.00 90.00
Fractional coordinates of all 18 atoms:
Ac1 0.500 0.500 0.500
Ac2 0.000 0.000 0.000
Sn1 0.406 0.344 0.193
Sn2 0.094 0.156 0.307
Sn3 0.406 0.656 0.807
Sn4 0.094 0.844 0.693
Sn5 0.594 0.193 0.656
Sn6 0.906 0.307 0.844
Sn7 0.594 0.807 0.344
Sn8 0.906 0.693 0.156
Y1 0.608 0.886 0.641
Y2 0.108 0.141 0.614
Y3 0.108 0.859 0.386
Y4 0.892 0.614 0.859
Y5 0.892 0.386 0.141
Y6 0.392 0.641 0.114
Y7 0.608 0.114 0.359
Y8 0.392 0.359 0.886